1.
Computed, not measured: a geometry-optimized Dy3ZnCu8 structure at the GGA-PBE level of DFT.

a b c (Å): 5.1528 5.1528 8.4003
angles (deg): 90.00 90.00 120.00
Last column: nearest neighbours and their distance in Å.
Fractional positions:
Cu 0.4986 0.9973 0.7494  6 Cu 2.53-2.61
Cu 0.4986 0.5014 0.7494  6 Cu 2.53-2.61
Cu 0.0027 0.5014 0.7494  6 Cu 2.53-2.61
Cu 0.1647 0.3294 0.2546  6 Cu 2.55-2.61, 1 Zn 2.83
Dy 0.0000 0.0000 0.9108  12 Cu 2.91-3.24, 1 Zn 3.10, 3 Dy 3.26
Dy 0.6667 0.3333 0.0680  12 Cu 3.02-3.07, 4 Dy 3.26-3.28
Zn 0.0000 0.0000 0.5420  12 Cu 2.83-3.11, 4 Dy 3.06-3.10
Cu 0.3333 0.6667 0.5041  6 Cu 2.53-2.58
Cu 0.3333 0.6667 0.0053  6 Cu 2.58-2.61
Dy 0.6667 0.3333 0.4580  12 Cu 2.87-3.09, 3 Zn 3.06
Cu 0.6706 0.8353 0.2546  6 Cu 2.55-2.61, 1 Zn 2.83
Cu 0.1647 0.8353 0.2546  6 Cu 2.55-2.61, 1 Zn 2.83

2.
Computed, not measured: a geometry-optimized Dy3Zn3Cu2 structure at the GGA-PBE level of DFT.

a b c (Å): 5.3572 7.7927 15.4206
angles (deg): 90.00 90.00 90.00
Last column: nearest neighbours and their distance in Å.
Fractional positions:
Zn 0.8922 0.8174 0.0348  3 Cu 2.48-2.62
Dy 0.1345 0.1766 0.7500  3 Zn 2.93-3.03, 4 Cu 3.04-3.09
Zn 0.6078 0.3174 0.0348  3 Cu 2.48-2.62
Dy 0.3752 0.9574 0.3936  3 Cu 2.90-3.04, 6 Zn 3.02-3.17
Zn 0.3686 0.6670 0.2500  2 Cu 2.59
Cu 0.8794 0.1063 0.3898  4 Zn 2.48-2.62
Cu 0.6206 0.6063 0.1102  4 Zn 2.48-2.62
Dy 0.3655 0.6766 0.7500  3 Zn 2.93-3.03, 4 Cu 3.04-3.09
Cu 0.3794 0.3937 0.6102  4 Zn 2.48-2.62
Zn 0.3922 0.6826 0.5348  3 Cu 2.48-2.62
Zn 0.6078 0.3174 0.4652  3 Cu 2.48-2.62
Dy 0.1248 0.4574 0.1064  3 Cu 2.90-3.04, 6 Zn 3.02-3.17
Dy 0.1248 0.4574 0.3936  3 Cu 2.90-3.04, 6 Zn 3.02-3.17
Cu 0.3794 0.3937 0.8898  4 Zn 2.48-2.62
Zn 0.6314 0.3330 0.7500  2 Cu 2.59
Zn 0.1078 0.1826 0.9652  3 Cu 2.48-2.62
Cu 0.1206 0.8937 0.6102  4 Zn 2.48-2.62
Zn 0.8686 0.8330 0.7500  2 Cu 2.59
Dy 0.6248 0.0426 0.6064  3 Cu 2.90-3.04, 6 Zn 3.02-3.17
Cu 0.1206 0.8937 0.8898  4 Zn 2.48-2.62
Dy 0.8655 0.8234 0.2500  3 Zn 2.93-3.03, 4 Cu 3.04-3.09
Cu 0.6206 0.6063 0.3898  4 Zn 2.48-2.62
Zn 0.1314 0.1670 0.2500  2 Cu 2.59
Cu 0.8794 0.1063 0.1102  4 Zn 2.48-2.62
Zn 0.3922 0.6826 0.9652  3 Cu 2.48-2.62
Dy 0.6345 0.3234 0.2500  3 Zn 2.93-3.03, 4 Cu 3.04-3.09
Dy 0.6248 0.0426 0.8936  3 Cu 2.90-3.04, 6 Zn 3.02-3.17
Zn 0.8922 0.8174 0.4652  3 Cu 2.48-2.62
Dy 0.8752 0.5426 0.6064  3 Cu 2.90-3.04, 6 Zn 3.02-3.17
Dy 0.3752 0.9574 0.1064  3 Cu 2.90-3.04, 6 Zn 3.02-3.17
Zn 0.1078 0.1826 0.5348  3 Cu 2.48-2.62
Dy 0.8752 0.5426 0.8936  3 Cu 2.90-3.04, 6 Zn 3.02-3.17

3.
Computed, not measured: a geometry-optimized DyZn3Cu2 structure at the GGA-PBE level of DFT.

a b c (Å): 5.1238 6.2489 6.2489
angles (deg): 97.50 90.00 90.00
Last column: nearest neighbours and their distance in Å.
Fractional positions:
Dy 0.2500 0.3425 0.3425  7 Zn 3.10-3.20, 4 Cu 3.12
Zn 0.7500 0.0362 0.0362  4 Zn 2.53-2.63, 4 Cu 2.54
Cu 0.0000 0.7694 0.2306  6 Zn 2.45-2.63, 2 Cu 2.56
Cu 0.5000 0.2306 0.7694  6 Zn 2.45-2.63, 2 Cu 2.56
Dy 0.7500 0.6575 0.6575  7 Zn 3.10-3.20, 4 Cu 3.12
Zn 0.7500 0.4451 0.0967  4 Cu 2.45-2.63, 1 Zn 2.53
Zn 0.2500 0.9638 0.9638  4 Zn 2.53-2.63, 4 Cu 2.54
Zn 0.7500 0.0967 0.4451  4 Cu 2.45-2.63, 1 Zn 2.53
Cu 0.5000 0.7694 0.2306  6 Zn 2.45-2.63, 2 Cu 2.56
Zn 0.2500 0.5549 0.9033  4 Cu 2.45-2.63, 1 Zn 2.53
Zn 0.2500 0.9033 0.5549  4 Cu 2.45-2.63, 1 Zn 2.53
Cu 0.0000 0.2306 0.7694  6 Zn 2.45-2.63, 2 Cu 2.56

4.
Computed, not measured: a geometry-optimized DyZn2Cu9 structure at the GGA-PBE level of DFT.

a b c (Å): 6.5824 7.8565 7.8565
angles (deg): 79.89 65.23 65.23
Last column: nearest neighbours and their distance in Å.
Fractional positions:
Cu 0.5962 0.0852 0.3297  7 Cu 2.47-2.75, 2 Zn 2.49-2.50
Cu 0.5962 0.3297 0.0852  7 Cu 2.47-2.75, 2 Zn 2.49-2.50
Cu 0.7389 0.8297 0.5852  7 Cu 2.47-2.75, 2 Zn 2.49-2.50
Cu 0.6759 0.1703 0.5852  7 Cu 2.47-2.75, 2 Zn 2.49-2.50
Zn 0.8750 0.2500 0.7500  10 Cu 2.49-2.65
Cu 0.4314 0.8297 0.4148  7 Cu 2.47-2.75, 2 Zn 2.49-2.50
Cu 0.1538 0.1703 0.4148  7 Cu 2.47-2.75, 2 Zn 2.49-2.50
Dy 0.2500 0.5000 0.5000  18 Cu 3.15-3.29
Cu 0.1538 0.4148 0.1703  7 Cu 2.47-2.75, 2 Zn 2.49-2.50
Zn 0.8750 0.7500 0.2500  10 Cu 2.49-2.65
Cu 0.7389 0.5852 0.8297  7 Cu 2.47-2.75, 2 Zn 2.49-2.50
Cu 0.0741 0.9148 0.3297  7 Cu 2.47-2.75, 2 Zn 2.49-2.50
Cu 0.3186 0.6703 0.0852  7 Cu 2.47-2.75, 2 Zn 2.49-2.50
Cu 0.0111 0.9148 0.6703  7 Cu 2.47-2.75, 2 Zn 2.49-2.50
Cu 0.6759 0.5852 0.1703  7 Cu 2.47-2.75, 2 Zn 2.49-2.50
Zn 0.3750 0.7500 0.7500  10 Cu 2.49-2.65
Cu 0.0741 0.3297 0.9148  7 Cu 2.47-2.75, 2 Zn 2.49-2.50
Cu 0.4314 0.4148 0.8297  7 Cu 2.47-2.75, 2 Zn 2.49-2.50
Zn 0.8750 0.2500 0.2500  10 Cu 2.49-2.65
Cu 0.0000 0.0000 0.0000  4 Zn 2.65, 8 Cu 2.75
Cu 0.3186 0.0852 0.6703  7 Cu 2.47-2.75, 2 Zn 2.49-2.50
Cu 0.0111 0.6703 0.9148  7 Cu 2.47-2.75, 2 Zn 2.49-2.50
Dy 0.5000 0.0000 0.0000  18 Cu 3.15-3.29
Cu 0.7500 0.5000 0.5000  4 Zn 2.65, 8 Cu 2.75

5.
Computed, not measured: a geometry-optimized DyZn6Cu6 structure at the GGA-PBE level of DFT.

a b c (Å): 4.9326 6.6501 6.6501
angles (deg): 81.37 68.23 68.23
Last column: nearest neighbours and their distance in Å.
Fractional positions:
Zn 0.3508 0.6492 0.6492  3 Zn 2.63-2.78, 6 Cu 2.65-2.73
Zn 0.2954 0.2046 0.2046  6 Cu 2.53-2.65, 2 Zn 2.78
Cu 0.5000 0.2237 0.7763  4 Cu 2.53, 6 Zn 2.65-2.73
Dy 0.0000 0.0000 0.0000  8 Zn 3.01-3.09, 12 Cu 3.14-3.33
Zn 0.0000 0.3474 0.6526  3 Zn 2.65-2.92, 6 Cu 2.66-2.69
Cu 0.5000 0.0000 0.5000  4 Cu 2.47-2.53, 6 Zn 2.53-2.66
Cu 0.0000 0.0000 0.5000  4 Cu 2.47-2.53, 6 Zn 2.53-2.66
Cu 0.5000 0.5000 0.0000  4 Cu 2.47-2.53, 6 Zn 2.53-2.66
Cu 0.0000 0.5000 0.0000  4 Cu 2.47-2.53, 6 Zn 2.53-2.66
Cu 0.5000 0.7763 0.2237  4 Cu 2.53, 6 Zn 2.65-2.73
Zn 0.7046 0.7954 0.7954  6 Cu 2.53-2.65, 2 Zn 2.78
Zn 0.6492 0.3508 0.3508  3 Zn 2.63-2.78, 6 Cu 2.65-2.73
Zn 0.0000 0.6526 0.3474  3 Zn 2.65-2.92, 6 Cu 2.66-2.69

6.
Computed, not measured: a geometry-optimized Dy4ZnCu2 structure at the GGA-PBE level of DFT.

a b c (Å): 4.9260 4.9260 8.4217
angles (deg): 72.99 72.99 60.00
Last column: nearest neighbours and their distance in Å.
Fractional positions:
Dy 0.3791 0.3791 0.8626  4 Cu 2.96-3.00, 3 Zn 3.05
Dy 0.8723 0.8723 0.3832  4 Cu 2.98-3.06, 1 Zn 3.04
Cu 0.7471 0.7471 0.7586  8 Dy 2.96-3.06
Zn 0.0000 0.0000 0.0000  8 Dy 3.04-3.05
Dy 0.6209 0.6209 0.1374  4 Cu 2.96-3.00, 3 Zn 3.05
Dy 0.1277 0.1277 0.6168  4 Cu 2.98-3.06, 1 Zn 3.04
Cu 0.2529 0.2529 0.2414  8 Dy 2.96-3.06

7.
Computed, not measured: a geometry-optimized Dy5Zn4Cu structure at the GGA-PBE level of DFT.

a b c (Å): 3.5456 3.5456 17.7509
angles (deg): 90.00 90.00 90.00
Last column: nearest neighbours and their distance in Å.
Fractional positions:
Cu 0.0000 0.0000 0.0000  8 Dy 3.03
Dy 0.5000 0.5000 0.7018  8 Zn 3.07-3.08
Zn 0.0000 0.0000 0.8013  8 Dy 3.07-3.10
Dy 0.5000 0.5000 0.0962  4 Cu 3.03, 4 Zn 3.10
Zn 0.0000 0.0000 0.6011  8 Dy 3.08
Dy 0.5000 0.5000 0.2982  8 Zn 3.07-3.08
Zn 0.0000 0.0000 0.3989  8 Dy 3.08
Zn 0.0000 0.0000 0.1987  8 Dy 3.07-3.10
Dy 0.5000 0.5000 0.5000  8 Zn 3.08
Dy 0.5000 0.5000 0.9038  4 Cu 3.03, 4 Zn 3.10

8.
Computed, not measured: a geometry-optimized DyZn10Cu2 structure at the GGA-PBE level of DFT.

a b c (Å): 4.9800 6.7704 6.8114
angles (deg): 82.27 68.56 68.42
Last column: nearest neighbours and their distance in Å.
Fractional positions:
Dy 0.0000 0.0000 0.0000  16 Zn 3.13-3.41, 4 Cu 3.39
Cu 0.5000 0.5000 0.0000  2 Cu 2.49, 8 Zn 2.54-2.65
Zn 0.7160 0.7792 0.7889  2 Cu 2.54, 7 Zn 2.61-2.78
Cu 0.0000 0.5000 0.0000  2 Cu 2.49, 8 Zn 2.54-2.65
Zn 0.5048 0.7792 0.2111  2 Cu 2.54, 7 Zn 2.61-2.78
Zn 0.6492 0.3594 0.3422  2 Cu 2.65, 7 Zn 2.67-2.96
Zn 0.0086 0.6406 0.3422  2 Cu 2.65, 7 Zn 2.67-2.96
Zn 0.5000 0.0000 0.5000  10 Zn 2.49-2.77
Zn 0.2840 0.2208 0.2111  2 Cu 2.54, 7 Zn 2.61-2.78
Zn 0.4952 0.2208 0.7889  2 Cu 2.54, 7 Zn 2.61-2.78
Zn 0.9914 0.3594 0.6578  2 Cu 2.65, 7 Zn 2.67-2.96
Zn 0.3508 0.6406 0.6578  2 Cu 2.65, 7 Zn 2.67-2.96
Zn 0.0000 0.0000 0.5000  10 Zn 2.49-2.77

9.
Computed, not measured: a geometry-optimized Dy3Zn3Cu8 structure at the GGA-PBE level of DFT.

a b c (Å): 4.2187 7.8722 7.8722
angles (deg): 68.13 74.46 74.46
Last column: nearest neighbours and their distance in Å.
Fractional positions:
Zn 0.5000 0.0000 0.0000  4 Cu 2.50, 4 Zn 2.79
Zn 0.0000 0.7921 0.2079  6 Cu 2.49-2.64
Zn 0.0000 0.2079 0.7921  6 Cu 2.49-2.64
Cu 0.1704 0.1884 0.4708  1 Zn 2.49, 4 Cu 2.49-2.57
Dy 0.7982 0.2018 0.2018  12 Cu 2.91-3.25, 2 Zn 3.09
Cu 0.8296 0.8116 0.5292  1 Zn 2.49, 4 Cu 2.49-2.57
Cu 0.6288 0.0899 0.6526  3 Cu 2.50-2.57, 3 Zn 2.50-2.64
Cu 0.8296 0.5292 0.8116  1 Zn 2.49, 4 Cu 2.49-2.57
Cu 0.1704 0.4708 0.1884  1 Zn 2.49, 4 Cu 2.49-2.57
Dy 0.5000 0.5000 0.5000  12 Cu 2.95-3.23
Cu 0.3712 0.9101 0.3474  3 Cu 2.50-2.57, 3 Zn 2.50-2.64
Dy 0.2018 0.7982 0.7982  12 Cu 2.91-3.25, 2 Zn 3.09
Cu 0.3712 0.3474 0.9101  3 Cu 2.50-2.57, 3 Zn 2.50-2.64
Cu 0.6288 0.6526 0.0899  3 Cu 2.50-2.57, 3 Zn 2.50-2.64

In the order shown, the computed formation energy values come out to -210, -300, -229, -115, -176, -150, -322, -186, -241 meV per atom.
In the order shown, the computed final energy values come out to -4.197, -3.527, -2.998, -3.783, -3.009, -4.132, -3.542, -2.150, -3.841 eV/atom.